(1)
The following is a DFT calculation (PBE-GGA) of an optimized crystal structure of Ba2Cd3In4Hg.

Cell: 4.965 4.965 12.169 Å, 90.00 90.00 90.00°
Element x y z (fractional)
Ba (0.500, 0.000, 0.254)
Ba (0.000, 0.500, 0.746)
Cd (0.000, 0.000, 0.500)
Cd (0.500, 0.000, 0.865)
Cd (0.000, 0.500, 0.135)
In (0.500, 0.500, 0.000)
In (0.000, 0.000, 0.000)
In (0.500, 0.000, 0.631)
In (0.000, 0.500, 0.369)
Hg (0.500, 0.500, 0.500)

Calculated values
E_form in meV/atom: -336
Total magnetization in μB/cell: 0.00
Density of states at the Fermi level in states/eV/atom: 0.458

---

(2)
The following is a DFT calculation (PBE-GGA) of an optimized crystal structure of SrLi3Cd.

Cell: 5.881 5.881 5.881 Å, 90.00 90.00 90.00°
Element x y z (fractional)
Sr (0.000, 0.000, 0.000)
Li (0.000, 0.500, 0.000)
Li (0.000, 0.000, 0.500)
Li (0.500, 0.000, 0.000)
Cd (0.500, 0.500, 0.500)

Calculated values
E_form in meV/atom: 831
Total magnetization in μB/cell: 0.00
Density of states at the Fermi level in states/eV/atom: 0.840
Distance to the lowest polymorph of the same formula in meV per atom: 940.5

---

(3)
The following is a DFT calculation (PBE-GGA) of an optimized crystal structure of KMgFe2.

Cell: 5.390 5.390 5.390 Å, 134.25 134.25 66.70°
Element x y z (fractional)
Fe (0.000, 0.000, 0.000)
Fe (0.500, 0.500, 0.000)
K (0.250, 0.750, 0.500)
Mg (0.750, 0.250, 0.500)

Calculated values
E_form in meV/atom: 1160
Total magnetization in μB/cell: 5.13
Density of states at the Fermi level in states/eV/atom: 1.351
Distance to the lowest polymorph of the same formula in meV per atom: 675.4

---

(4)
The following is a DFT calculation (PBE-GGA) of an optimized crystal structure of RuPbBr2.

Cell: 3.782 7.057 7.056 Å, 44.05 90.00 90.00°
Element x y z (fractional)
Pb (0.500, 0.250, 0.250)
Ru (0.500, 0.750, 0.750)
Br (0.000, 0.882, 0.883)
Br (0.000, 0.618, 0.617)

Calculated values
Uncorrected formation energy in eV/atom: -0.017
Total magnetization in μB/cell: 0.00
Density of states at the Fermi level in states/eV/atom: 0.284
Distance to the lowest polymorph of the same formula in meV per atom: 0.0

---

(5)
The following is a DFT calculation (PBE-GGA) of an optimized crystal structure of Ba5Sc.

Cell: 7.795 7.795 7.795 Å, 60.00 60.00 60.00°
Element x y z (fractional)
Ba (0.250, 0.250, 0.250)
Ba (0.627, 0.627, 0.627)
Ba (0.627, 0.627, 0.120)
Ba (0.120, 0.627, 0.627)
Ba (0.627, 0.120, 0.627)
Sc (0.000, 0.000, 0.000)

Calculated values
E_form in meV/atom: 432
Total magnetization in μB/cell: 2.10
Density of states at the Fermi level in states/eV/atom: 2.177
Distance to the lowest polymorph of the same formula in meV per atom: 270.8

---

(6)
The following is a DFT calculation (PBE-GGA) of an optimized crystal structure of NaFeIrN2.

Cell: 3.656 4.811 3.656 Å, 90.00 90.00 90.00°
Element x y z (fractional)
Na (0.000, 0.500, 0.000)
Ir (0.500, 0.500, 0.500)
Fe (0.000, 0.000, 0.000)
N (0.000, 0.000, 0.500)
N (0.500, 0.000, 0.000)

Calculated values
Uncorrected formation energy in eV/atom: 1.636
Total magnetization in μB/cell: 0.70
Density of states at the Fermi level in states/eV/atom: 0.894

---

(7)
The following is a DFT calculation (PBE-GGA) of an optimized crystal structure of CePa2CuO8.

Cell: 5.294 5.294 6.233 Å, 90.00 90.00 120.00°
Element x y z (fractional)
Ce (0.000, 0.000, 0.500)
Pa (0.667, 0.333, 0.122)
Pa (0.333, 0.667, 0.878)
Cu (0.000, 0.000, 0.000)
O (0.828, 0.657, 0.819)
O (0.343, 0.172, 0.819)
O (0.828, 0.172, 0.819)
O (0.172, 0.343, 0.181)
O (0.657, 0.828, 0.181)
O (0.172, 0.828, 0.181)
O (0.667, 0.333, 0.426)
O (0.333, 0.667, 0.574)

Calculated values
Uncorrected formation energy in eV/atom: -2.477
Total magnetization in μB/cell: 1.46
Density of states at the Fermi level in states/eV/atom: 0.698

---

(8)
The following is a DFT calculation (PBE-GGA) of an optimized crystal structure of Tb3ScTl4S8.

Cell: 7.984 8.813 7.985 Å, 116.94 120.00 90.00°
Element x y z (fractional)
Tb (0.500, 0.500, 0.000)
Tb (0.500, 0.500, 0.500)
Tb (0.000, 0.500, 0.500)
Sc (0.000, 0.500, 0.000)
Tl (0.500, 0.000, 0.000)
Tl (0.500, 0.000, 0.500)
Tl (0.000, 0.000, 0.000)
Tl (0.000, 0.000, 0.500)
S (0.225, 0.695, 0.969)
S (0.225, 0.695, 0.451)
S (0.267, 0.300, 0.533)
S (0.744, 0.695, 0.969)
S (0.256, 0.305, 0.031)
S (0.733, 0.700, 0.467)
S (0.775, 0.305, 0.549)
S (0.775, 0.305, 0.031)

Calculated values
Uncorrected formation energy in eV/atom: -1.451
Total magnetization in μB/cell: 0.00

---

(9)
The following is a DFT calculation (PBE-GGA) of an optimized crystal structure of Pm2NdAu4.

Cell: 5.453 5.453 8.476 Å, 108.77 108.77 90.00°
Element x y z (fractional)
Pm (0.617, 0.617, 0.234)
Pm (0.383, 0.383, 0.766)
Nd (0.000, 0.000, 0.000)
Au (0.809, 0.809, 0.617)
Au (0.191, 0.191, 0.383)
Au (0.000, 0.500, 0.000)
Au (0.500, 0.000, 0.000)

Calculated values
E_form in meV/atom: -228
Total magnetization in μB/cell: 0.00
Density of states at the Fermi level in states/eV/atom: 0.692
Distance to the lowest polymorph of the same formula in meV per atom: 423.6

---

(10)
The following is a DFT calculation (PBE-GGA) of an optimized crystal structure of HoSb2O6.

Cell: 5.430 5.803 7.903 Å, 90.00 90.00 90.00°
Element x y z (fractional)
Sb (0.006, 0.233, 0.752)
Sb (0.006, 0.233, 0.248)
Sb (0.506, 0.767, 0.252)
Sb (0.506, 0.767, 0.748)
Ho (0.027, 0.667, 0.000)
Ho (0.527, 0.333, 0.500)
O (0.131, 0.222, 0.500)
O (0.183, 0.934, 0.812)
O (0.183, 0.934, 0.188)
O (0.280, 0.477, 0.796)
O (0.280, 0.477, 0.204)
O (0.417, 0.713, 0.500)
O (0.631, 0.778, 0.000)
O (0.683, 0.066, 0.312)
O (0.683, 0.066, 0.688)
O (0.780, 0.523, 0.704)
O (0.780, 0.523, 0.296)
O (0.917, 0.287, 0.000)

Calculated values
Uncorrected formation energy in eV/atom: -1.885
Total magnetization in μB/cell: 0.00
Density of states at the Fermi level in states/eV/atom: 0.106

---

(11)
The following is a DFT calculation (PBE-GGA) of an optimized crystal structure of KFe4W.

Cell: 4.970 4.970 4.970 Å, 60.00 60.00 60.00°
Element x y z (fractional)
K (0.750, 0.750, 0.750)
Fe (0.877, 0.374, 0.374)
Fe (0.374, 0.374, 0.877)
Fe (0.374, 0.877, 0.374)
Fe (0.374, 0.374, 0.374)
W (0.000, 0.000, 0.000)

Calculated values
E_form in meV/atom: 933
Total magnetization in μB/cell: 6.50
Density of states at the Fermi level in states/eV/atom: 0.915

---

(12)
The following is a DFT calculation (PBE-GGA) of an optimized crystal structure of BWBr2.

Cell: 9.533 9.533 7.071 Å, 47.61 47.61 90.00°
Element x y z (fractional)
B (0.500, 0.500, 0.000)
B (0.250, 0.750, 0.500)
Br (0.778, 0.125, 0.250)
Br (0.972, 0.625, 0.250)
Br (0.375, 0.222, 0.750)
Br (0.875, 0.028, 0.750)
W (0.000, 0.000, 0.000)
W (0.750, 0.250, 0.500)

Calculated values
Uncorrected formation energy in eV/atom: 0.820
Total magnetization in μB/cell: 3.89
Density of states at the Fermi level in states/eV/atom: 0.887
Distance to the lowest polymorph of the same formula in meV per atom: 0.0

---

(13)
The following is a DFT calculation (PBE-GGA) of an optimized crystal structure of Tb7Pr4Tm.

Cell: 5.976 11.787 6.764 Å, 83.69 63.79 75.32°
Element x y z (fractional)
Tb (0.788, 0.924, 0.500)
Tb (0.212, 0.076, 0.500)
Tb (0.072, 0.694, 0.163)
Tb (0.928, 0.306, 0.837)
Tb (0.368, 0.494, 0.771)
Tb (0.500, 0.000, 0.000)
Tb (0.632, 0.506, 0.229)
Pr (0.641, 0.222, 0.495)
Pr (0.359, 0.778, 0.505)
Pr (0.785, 0.662, 0.769)
Pr (0.215, 0.338, 0.231)
Tm (0.000, 0.000, 0.000)

Calculated values
E_form in meV/atom: 264
Total magnetization in μB/cell: 0.00
Density of states at the Fermi level in states/eV/atom: 1.669
Distance to the lowest polymorph of the same formula in meV per atom: 175.5

---

(14)
The following is a DFT calculation (PBE-GGA) of an optimized crystal structure of Ga3ClO.

Cell: 4.765 4.765 4.765 Å, 90.00 90.00 90.00°
Element x y z (fractional)
O (0.000, 0.000, 0.000)
Ga (0.000, 0.500, 0.000)
Ga (0.000, 0.000, 0.500)
Ga (0.500, 0.000, 0.000)
Cl (0.500, 0.500, 0.500)

Calculated values
Uncorrected formation energy in eV/atom: -0.294
Total magnetization in μB/cell: 0.00
Density of states at the Fermi level in states/eV/atom: 0.260
Distance to the lowest polymorph of the same formula in meV per atom: 0.0

---

(15)
The following is a DFT calculation (PBE-GGA) of an optimized crystal structure of TlSeO2.

Cell: 7.119 7.119 7.785 Å, 90.00 90.00 120.00°
Element x y z (fractional)
Tl (0.258, 0.258, 0.000)
Tl (0.000, 0.742, 0.667)
Tl (0.742, 0.000, 0.333)
Se (0.352, 0.352, 0.500)
Se (0.000, 0.648, 0.167)
Se (0.648, 0.000, 0.833)
O (0.849, 0.125, 0.984)
O (0.276, 0.151, 0.651)
O (0.875, 0.724, 0.317)
O (0.125, 0.849, 0.016)
O (0.151, 0.276, 0.349)
O (0.724, 0.875, 0.683)

Calculated values
Uncorrected formation energy in eV/atom: -0.631
Total magnetization in μB/cell: 3.00
Distance to the lowest polymorph of the same formula in meV per atom: 51.4

---

(16)
The following is a DFT calculation (PBE-GGA) of an optimized crystal structure of Mg3Al2Zn7.

Cell: 5.309 5.309 8.960 Å, 72.77 72.77 60.00°
Element x y z (fractional)
Mg (0.000, 0.000, 0.000)
Mg (0.858, 0.858, 0.426)
Mg (0.142, 0.142, 0.574)
Al (0.666, 0.666, 0.001)
Al (0.334, 0.334, 0.999)
Zn (0.500, 0.500, 0.500)
Zn (0.920, 0.412, 0.257)
Zn (0.412, 0.920, 0.257)
Zn (0.412, 0.412, 0.257)
Zn (0.080, 0.588, 0.743)
Zn (0.588, 0.588, 0.743)
Zn (0.588, 0.080, 0.743)

Calculated values
E_form in meV/atom: -47
Total magnetization in μB/cell: 0.00
Density of states at the Fermi level in states/eV/atom: 0.332

---

(17)
The following is a DFT calculation (PBE-GGA) of an optimized crystal structure of ZrBe2RuSe.

Cell: 4.738 4.770 4.738 Å, 90.00 90.00 90.00°
Element x y z (fractional)
Ru (0.000, 0.500, 0.000)
Se (0.500, 0.500, 0.500)
Zr (0.000, 0.000, 0.000)
Be (0.000, 0.000, 0.500)
Be (0.500, 0.000, 0.000)

Calculated values
Uncorrected formation energy in eV/atom: 1.601
Total magnetization in μB/cell: 0.60
Density of states at the Fermi level in states/eV/atom: 0.977
Distance to the lowest polymorph of the same formula in meV per atom: 1353.0

---

(18)
The following is a DFT calculation (PBE-GGA) of an optimized crystal structure of K2PbAu.

Cell: 6.904 6.768 6.768 Å, 111.01 90.00 90.00°
Element x y z (fractional)
K (0.750, 0.972, 0.631)
K (0.250, 0.028, 0.369)
K (0.250, 0.369, 0.028)
K (0.750, 0.631, 0.972)
Pb (0.750, 0.211, 0.211)
Pb (0.250, 0.789, 0.789)
Au (0.000, 0.500, 0.500)
Au (0.500, 0.500, 0.500)

Calculated values
E_form in meV/atom: -202
Total magnetization in μB/cell: 0.41
Density of states at the Fermi level in states/eV/atom: 0.898